(1)
KNdCdF6: relaxed, PBE.

POSCAR file:
```
KNdCdF6
1.0
-4.5360 6.6650 -3.0573
-4.8366 -5.1709 -4.0967
0.9617 -1.0750 8.3881
K F Nd Cd
2 12 2 2
Direct
0.7612 0.5112 0.5225 K
0.2388 0.4888 0.4775 K
0.1839 0.3233 0.7212 F
0.1808 0.9308 0.3617 F
0.8161 0.6767 0.2788 F
0.5373 0.8979 0.7212 F
0.4424 0.6924 0.8847 F
0.1839 0.8979 0.7212 F
0.8161 0.1021 0.2788 F
0.5576 0.3076 0.1153 F
0.8192 0.0692 0.6383 F
0.5373 0.3233 0.7212 F
0.4627 0.6767 0.2788 F
0.4627 0.1021 0.2788 F
0.0000 0.0000 0.5000 Nd
0.5000 0.0000 0.5000 Nd
0.5000 0.0000 0.0000 Cd
0.5000 0.5000 0.0000 Cd
```

Calculated values
The calculation puts the density of states at the Fermi level at 0.00 states/eV/atom. The space group is Imma (74). The total energy is -5.084 eV per atom. The calculation puts the energy relative to the elements, uncorrected at -3.083 eV/atom.



(2)
NiTe2BrN: relaxed, PBE.

POSCAR file:
```
NiTe2BrN
1.0
-1.8137 -3.7303 -3.8513
4.2235 1.5106 -3.4521
2.1205 -2.5552 1.4762
N Ni Te Br
1 1 2 1
Direct
0.0000 0.0000 0.5000 N
0.5000 0.5000 0.5000 Ni
0.5000 0.0000 0.0000 Te
0.0000 0.5000 0.0000 Te
0.0000 0.0000 0.0000 Br
```

Calculated values
The calculation puts the density of states at the Fermi level at 1.04 states/eV/atom. As for the energy above the most stable polymorph in this dataset: 1144 meV/atom. The space group is P4/mmm (123). The total energy is -2.744 eV per atom. The calculation puts the energy relative to the elements, uncorrected at 1.668 eV/atom.



(3)
Tm3PtSe3: relaxed, PBE.

POSCAR file:
```
Tm3PtSe3
1.0
8.3259 0.0000 0.0000
4.1629 7.2104 0.0000
4.1629 2.4035 5.7152
Se Tm Pt
6 6 2
Direct
0.7933 0.1273 0.7241 Se
0.3553 0.7933 0.7241 Se
0.6447 0.2067 0.2759 Se
0.8727 0.6447 0.2759 Se
0.2067 0.8727 0.2759 Se
0.1273 0.3553 0.7241 Se
0.0309 0.7250 0.7717 Tm
0.5275 0.9691 0.2283 Tm
0.9691 0.2750 0.2283 Tm
0.7250 0.4725 0.7717 Tm
0.4725 0.0309 0.7717 Tm
0.2750 0.5275 0.2283 Tm
0.3504 0.3504 0.9488 Pt
0.6496 0.6496 0.0512 Pt
```

Calculated values
The calculation puts the density of states at the Fermi level at 0.42 states/eV/atom. The space group is R-3 (148). The total energy is -5.798 eV per atom. The calculation puts the energy relative to the elements, uncorrected at -1.525 eV/atom.



(4)
Na2TmInCl6: relaxed, PBE.

POSCAR file:
```
Na2TmInCl6
1.0
7.1819 0.0004 0.0008
3.5913 6.2194 0.0005
3.5913 2.0736 6.5619
Cl Na Tm In
6 2 1 1
Direct
0.9482 0.5714 0.2294 Cl
0.1506 0.3700 0.7675 Cl
0.3700 0.7119 0.7674 Cl
0.7120 0.1505 0.7675 Cl
0.5713 0.2511 0.2294 Cl
0.2510 0.9483 0.2294 Cl
0.0056 0.0055 0.9834 Na
0.5213 0.5213 0.4361 Na
0.3254 0.3254 0.0238 Tm
0.8062 0.8062 0.5814 In
```

Calculated values
The calculation puts the density of states at the Fermi level at 0.00 states/eV/atom. The space group is R3 (146). The total energy is -3.899 eV per atom. The calculation puts the energy relative to the elements, uncorrected at -1.806 eV/atom.



(5)
Ru2Pt2Rh15: relaxed, PBE.

POSCAR file:
```
Ru2Pt2Rh15
1.0
6.6153 -0.1967 1.3224
1.0458 6.5350 1.3224
-0.2377 -0.1967 6.7420
Ru Rh Pt
2 15 2
Direct
0.9150 0.9150 0.9150 Ru
0.0850 0.0850 0.0850 Ru
0.1727 0.6702 0.6702 Rh
0.3298 0.3298 0.8273 Rh
0.8273 0.3298 0.3298 Rh
0.3429 0.0000 0.6571 Rh
0.6571 0.3429 0.0000 Rh
0.5000 0.0000 0.0000 Rh
0.0000 0.3429 0.6571 Rh
0.6702 0.1727 0.6702 Rh
0.6702 0.6702 0.1727 Rh
0.0000 0.6571 0.3429 Rh
0.3429 0.6571 0.0000 Rh
0.0000 0.0000 0.5000 Rh
0.6571 0.0000 0.3429 Rh
0.3298 0.8273 0.3298 Rh
0.0000 0.5000 0.0000 Rh
0.7088 0.7088 0.7088 Pt
0.2912 0.2912 0.2912 Pt
```

Calculated values
The calculation puts the density of states at the Fermi level at 1.58 states/eV/atom. The space group is R-3m (166). The total energy is -7.023 eV per atom. The formation energy is 0.3927 eV per atom.



(6)
LiTbRu4: relaxed, PBE.

POSCAR file:
```
LiTbRu4
1.0
-3.0812 -2.6894 -3.2769
-3.5087 -3.3987 1.8979
-5.1185 1.0911 -0.2733
Tb Ru Li
1 4 1
Direct
0.2500 0.2500 0.2500 Tb
0.6255 0.1236 0.6255 Ru
0.6255 0.6255 0.6255 Ru
0.6255 0.6255 0.1236 Ru
0.1236 0.6255 0.6255 Ru
0.0000 0.0000 0.0000 Li
```

Calculated values
The calculation puts the density of states at the Fermi level at 1.54 states/eV/atom. The space group is F-43m (216). The total energy is -7.220 eV per atom. The formation energy is 0.0547 eV per atom.



(7)
CaGaSCl2: relaxed, PBE.

POSCAR file:
```
CaGaSCl2
1.0
-2.7876 2.1310 -3.4951
-0.8625 -4.4394 -2.0188
-3.9763 -0.5243 2.8517
Cl Ga S Ca
2 1 1 1
Direct
0.5000 0.0000 0.0000 Cl
0.0000 0.5000 0.0000 Cl
0.0000 0.0000 0.0000 Ga
0.0000 0.0000 0.5000 S
0.5000 0.5000 0.5000 Ca
```

Calculated values
The calculation puts the density of states at the Fermi level at 0.17 states/eV/atom. As for the energy above the most stable polymorph in this dataset: 0 meV/atom. The space group is P4/mmm (123). The total energy is -3.646 eV per atom. The calculation puts the energy relative to the elements, uncorrected at -1.076 eV/atom.



(8)
FeMo2Rh7: relaxed, PBE.

POSCAR file:
```
FeMo2Rh7
1.0
2.6860 0.0000 0.0000
0.0000 8.5311 -0.5677
0.0000 -4.2729 7.4057
Mo Rh Fe
2 7 1
Direct
0.5000 0.6709 0.3291 Mo
0.5000 0.3291 0.6709 Mo
0.5000 0.1312 0.3192 Rh
0.5000 0.6808 0.8688 Rh
0.0000 0.8169 0.1831 Rh
0.5000 0.8688 0.6808 Rh
0.5000 0.3192 0.1312 Rh
0.0000 0.1831 0.8169 Rh
0.5000 0.5000 0.5000 Rh
0.0000 0.0000 0.0000 Fe
```

Calculated values
The calculation puts the density of states at the Fermi level at 1.65 states/eV/atom. The space group is Cmmm (65). The total energy is -7.759 eV per atom. The formation energy is 0.3994 eV per atom.